1.
Computed, not measured: a geometry-optimized PmDy3Er2As6 structure at the GGA-PBE level of DFT.

Results
The formation energy comes out at -1.524 eV per atom. For the total energy, the calculation gives -73.9 eV/cell.

Cell: 7.148 7.148 7.149 Å, 99.59 99.59 119.99°
Atoms (fractional coordinates):
Pm (0.000, 0.000, 0.000)
Dy (0.165, 0.835, 0.500)
Dy (0.500, 0.500, 0.500)
Dy (0.835, 0.165, 0.500)
Er (0.333, 0.667, 0.000)
Er (0.667, 0.333, 0.000)
As (0.084, 0.422, 0.251)
As (0.255, 0.255, 0.750)
As (0.422, 0.084, 0.251)
As (0.578, 0.916, 0.749)
As (0.745, 0.745, 0.250)
As (0.916, 0.578, 0.749)

2.
Computed, not measured: a geometry-optimized Pr2DyEr3As6 structure at the GGA-PBE level of DFT.

Results
The formation energy comes out at -1.502 eV per atom. For the total energy, the calculation gives -73.8 eV/cell.

Cell: 9.311 9.311 8.328 Å, 102.87 102.87 25.87°
Atoms (fractional coordinates):
Pr (0.166, 0.166, 0.332)
Pr (0.834, 0.834, 0.668)
Dy (0.500, 0.500, 0.000)
Er (0.167, 0.167, 0.834)
Er (0.500, 0.500, 0.500)
Er (0.833, 0.833, 0.166)
As (0.004, 0.004, 0.751)
As (0.333, 0.333, 0.926)
As (0.336, 0.336, 0.409)
As (0.664, 0.664, 0.591)
As (0.667, 0.667, 0.074)
As (0.996, 0.996, 0.249)

3.
Computed, not measured: a geometry-optimized PrDy3Er2As6 structure at the GGA-PBE level of DFT.

Results
The formation energy comes out at -1.514 eV per atom. For the total energy, the calculation gives -73.8 eV/cell.

Cell: 7.170 7.170 7.173 Å, 99.59 99.59 120.00°
Atoms (fractional coordinates):
Pr (0.000, 0.000, 0.000)
Dy (0.165, 0.835, 0.500)
Dy (0.500, 0.500, 0.500)
Dy (0.835, 0.165, 0.500)
Er (0.333, 0.667, 0.000)
Er (0.667, 0.333, 0.000)
As (0.084, 0.425, 0.253)
As (0.257, 0.257, 0.749)
As (0.425, 0.084, 0.253)
As (0.575, 0.916, 0.747)
As (0.743, 0.743, 0.251)
As (0.916, 0.575, 0.747)

4.
Computed, not measured: a geometry-optimized Pr2DyErAs4 structure at the GGA-PBE level of DFT.

Results
The formation energy comes out at -1.504 eV per atom. For the total energy, the calculation gives -49.4 eV/cell.

Cell: 7.278 4.209 7.286 Å, 90.00 109.49 90.00°
Atoms (fractional coordinates):
Pr (0.000, 0.000, 0.000)
Pr (0.000, 0.500, 0.500)
Dy (0.500, 0.000, 0.500)
Er (0.500, 0.500, 0.000)
As (0.262, 0.500, 0.253)
As (0.263, 0.000, 0.755)
As (0.737, 0.000, 0.245)
As (0.738, 0.500, 0.747)

5.
Computed, not measured: a geometry-optimized Dy2ErPuAs4 structure at the GGA-PBE level of DFT.

Results
The formation energy comes out at -1.393 eV per atom. For the total energy, the calculation gives -57.8 eV/cell.

Cell: 7.113 4.120 7.116 Å, 90.00 109.46 90.00°
Atoms (fractional coordinates):
Dy (0.000, 0.000, 0.000)
Dy (0.500, 0.500, 0.000)
Er (0.000, 0.500, 0.500)
Pu (0.500, 0.000, 0.500)
As (0.249, 0.000, 0.748)
As (0.250, 0.500, 0.252)
As (0.750, 0.500, 0.748)
As (0.751, 0.000, 0.252)

6.
Computed, not measured: a geometry-optimized DyErPu2As4 structure at the GGA-PBE level of DFT.

Results
The formation energy comes out at -1.273 eV per atom. For the total energy, the calculation gives -66.6 eV/cell.

Cell: 7.098 4.126 7.143 Å, 90.00 109.60 90.00°
Atoms (fractional coordinates):
Dy (0.000, 0.000, 0.000)
Er (0.000, 0.500, 0.500)
Pu (0.500, 0.000, 0.500)
Pu (0.500, 0.500, 0.000)
As (0.251, 0.000, 0.749)
As (0.252, 0.500, 0.252)
As (0.748, 0.500, 0.748)
As (0.749, 0.000, 0.251)

7.
Computed, not measured: a geometry-optimized DyErAs2Rh5 structure at the GGA-PBE level of DFT.

Results
The formation energy comes out at -0.792 eV per atom. For the total energy, the calculation gives -62.3 eV/cell.

Cell: 4.226 4.226 8.763 Å, 90.00 90.00 90.00°
Atoms (fractional coordinates):
Dy (0.000, 0.000, 0.000)
Er (0.000, 0.000, 0.500)
As (0.500, 0.500, 0.355)
As (0.500, 0.500, 0.645)
Rh (0.000, 0.500, 0.233)
Rh (0.000, 0.500, 0.767)
Rh (0.500, 0.000, 0.233)
Rh (0.500, 0.000, 0.767)
Rh (0.500, 0.500, 0.000)

8.
Computed, not measured: a geometry-optimized DyErAsS structure at the GGA-PBE level of DFT.

Results
For the total energy, the calculation gives -25.1 eV/cell.

Cell: 3.995 3.995 5.662 Å, 90.00 90.00 90.00°
Atoms (fractional coordinates):
Dy (0.000, 0.000, 0.000)
Er (0.500, 0.500, 0.500)
As (0.000, 0.000, 0.500)
S (0.500, 0.500, 0.000)

9.
Computed, not measured: a geometry-optimized DyErSbAs structure at the GGA-PBE level of DFT.

Results
For the total energy, the calculation gives -22.8 eV/cell.

Cell: 7.561 7.561 7.561 Å, 32.19 32.19 32.19°
Atoms (fractional coordinates):
Dy (0.000, 0.000, 0.000)
Er (0.819, 0.819, 0.819)
Sb (0.241, 0.241, 0.241)
As (0.412, 0.412, 0.412)

10.
Computed, not measured: a geometry-optimized DyEr2ScAs4 structure at the GGA-PBE level of DFT.

Results
The formation energy comes out at -1.474 eV per atom. For the total energy, the calculation gives -50.4 eV/cell.

Cell: 7.002 4.048 7.005 Å, 90.00 109.47 90.00°
Atoms (fractional coordinates):
Dy (0.000, 0.000, 0.000)
Er (0.000, 0.500, 0.500)
Er (0.500, 0.000, 0.500)
Sc (0.500, 0.500, 0.000)
As (0.256, 0.500, 0.248)
As (0.259, 0.000, 0.757)
As (0.741, 0.000, 0.243)
As (0.744, 0.500, 0.752)

11.
Computed, not measured: a geometry-optimized Dy2Er3ScAs6 structure at the GGA-PBE level of DFT.

Results
The formation energy comes out at -1.490 eV per atom. For the total energy, the calculation gives -75.0 eV/cell.

Cell: 9.084 9.084 8.126 Å, 102.93 102.93 25.86°
Atoms (fractional coordinates):
Dy (0.165, 0.165, 0.332)
Dy (0.835, 0.835, 0.668)
Er (0.167, 0.167, 0.834)
Er (0.500, 0.500, 0.500)
Er (0.833, 0.833, 0.166)
Sc (0.500, 0.500, 0.000)
As (0.001, 0.001, 0.759)
As (0.334, 0.334, 0.415)
As (0.337, 0.337, 0.920)
As (0.663, 0.663, 0.080)
As (0.666, 0.666, 0.585)
As (0.999, 0.999, 0.241)

12.
Computed, not measured: a geometry-optimized DyEr2Sc3As6 structure at the GGA-PBE level of DFT.

Results
The formation energy comes out at -1.441 eV per atom. For the total energy, the calculation gives -77.9 eV/cell.

Cell: 6.915 6.915 6.896 Å, 99.61 99.61 120.00°
Atoms (fractional coordinates):
Dy (0.000, 0.000, 0.000)
Er (0.333, 0.667, 0.000)
Er (0.667, 0.333, 0.000)
Sc (0.166, 0.834, 0.500)
Sc (0.500, 0.500, 0.500)
Sc (0.834, 0.166, 0.500)
As (0.088, 0.423, 0.264)
As (0.247, 0.247, 0.737)
As (0.423, 0.088, 0.264)
As (0.577, 0.912, 0.736)
As (0.753, 0.753, 0.263)
As (0.912, 0.577, 0.736)

13.
Computed, not measured: a geometry-optimized Dy3Er2ScAs6 structure at the GGA-PBE level of DFT.

Results
The formation energy comes out at -1.494 eV per atom. For the total energy, the calculation gives -75.1 eV/cell.

Cell: 9.096 9.096 8.136 Å, 102.88 102.88 25.86°
Atoms (fractional coordinates):
Dy (0.000, 0.000, 0.000)
Dy (0.333, 0.333, 0.666)
Dy (0.667, 0.667, 0.334)
Er (0.334, 0.334, 0.168)
Er (0.666, 0.666, 0.832)
Sc (0.000, 0.000, 0.500)
As (0.163, 0.163, 0.583)
As (0.167, 0.167, 0.082)
As (0.500, 0.500, 0.260)
As (0.500, 0.500, 0.740)
As (0.833, 0.833, 0.918)
As (0.837, 0.837, 0.417)

14.
Computed, not measured: a geometry-optimized DyErAsSe structure at the GGA-PBE level of DFT.

Results
For the total energy, the calculation gives -23.8 eV/cell.

Cell: 7.416 7.416 7.416 Å, 31.36 31.36 31.36°
Atoms (fractional coordinates):
Dy (0.000, 0.000, 0.000)
Er (0.181, 0.181, 0.181)
As (0.591, 0.591, 0.591)
Se (0.423, 0.423, 0.423)

15.
Computed, not measured: a geometry-optimized Sm3Dy2ErAs6 structure at the GGA-PBE level of DFT.

Results
The formation energy comes out at -1.526 eV per atom. For the total energy, the calculation gives -74.1 eV/cell.

Cell: 9.302 9.302 8.319 Å, 102.89 102.89 25.86°
Atoms (fractional coordinates):
Sm (0.000, 0.000, 0.000)
Sm (0.333, 0.333, 0.667)
Sm (0.667, 0.667, 0.333)
Dy (0.333, 0.333, 0.167)
Dy (0.667, 0.667, 0.833)
Er (0.000, 0.000, 0.500)
As (0.165, 0.165, 0.586)
As (0.168, 0.168, 0.080)
As (0.499, 0.499, 0.255)
As (0.501, 0.501, 0.745)
As (0.832, 0.832, 0.920)
As (0.835, 0.835, 0.414)

16.
Computed, not measured: a geometry-optimized SmDy2Er3As6 structure at the GGA-PBE level of DFT.

Results
The formation energy comes out at -1.524 eV per atom. For the total energy, the calculation gives -73.8 eV/cell.

Cell: 9.203 9.203 8.231 Å, 102.89 102.89 25.86°
Atoms (fractional coordinates):
Sm (0.000, 0.000, 0.000)
Dy (0.333, 0.333, 0.666)
Dy (0.667, 0.667, 0.334)
Er (0.000, 0.000, 0.500)
Er (0.334, 0.334, 0.167)
Er (0.666, 0.666, 0.833)
As (0.166, 0.166, 0.585)
As (0.169, 0.169, 0.083)
As (0.500, 0.500, 0.256)
As (0.500, 0.500, 0.744)
As (0.831, 0.831, 0.917)
As (0.834, 0.834, 0.415)

17.
Computed, not measured: a geometry-optimized SmDyEr2As4 structure at the GGA-PBE level of DFT.

Results
The formation energy comes out at -1.522 eV per atom. For the total energy, the calculation gives -49.2 eV/cell.

Cell: 7.142 4.127 7.144 Å, 90.00 109.47 90.00°
Atoms (fractional coordinates):
Sm (0.000, 0.000, 0.000)
Dy (0.000, 0.500, 0.500)
Er (0.500, 0.000, 0.500)
Er (0.500, 0.500, 0.000)
As (0.254, 0.000, 0.749)
As (0.256, 0.500, 0.255)
As (0.744, 0.500, 0.745)
As (0.746, 0.000, 0.251)

18.
Computed, not measured: a geometry-optimized Sm2Dy3ErAs6 structure at the GGA-PBE level of DFT.

Results
The formation energy comes out at -1.527 eV per atom. For the total energy, the calculation gives -74.0 eV/cell.

Cell: 9.267 9.267 8.288 Å, 102.91 102.91 25.86°
Atoms (fractional coordinates):
Sm (0.166, 0.166, 0.332)
Sm (0.834, 0.834, 0.668)
Dy (0.167, 0.167, 0.834)
Dy (0.500, 0.500, 0.500)
Dy (0.833, 0.833, 0.166)
Er (0.500, 0.500, 0.000)
As (0.002, 0.002, 0.753)
As (0.334, 0.334, 0.921)
As (0.335, 0.335, 0.413)
As (0.665, 0.665, 0.587)
As (0.666, 0.666, 0.079)
As (0.998, 0.998, 0.247)

19.
Computed, not measured: a geometry-optimized Sm2DyErAs4 structure at the GGA-PBE level of DFT.

Results
The formation energy comes out at -1.525 eV per atom. For the total energy, the calculation gives -49.4 eV/cell.

Cell: 7.199 4.160 7.202 Å, 90.00 109.48 90.00°
Atoms (fractional coordinates):
Sm (0.000, 0.000, 0.000)
Sm (0.000, 0.500, 0.500)
Dy (0.500, 0.000, 0.500)
Er (0.500, 0.500, 0.000)
As (0.257, 0.000, 0.754)
As (0.257, 0.500, 0.251)
As (0.743, 0.000, 0.246)
As (0.743, 0.500, 0.749)

20.
Computed, not measured: a geometry-optimized SmDy3Er2As6 structure at the GGA-PBE level of DFT.

Results
The formation energy comes out at -1.526 eV per atom. For the total energy, the calculation gives -73.9 eV/cell.

Cell: 7.141 7.141 7.142 Å, 99.59 99.59 119.99°
Atoms (fractional coordinates):
Sm (0.000, 0.000, 0.000)
Dy (0.166, 0.834, 0.500)
Dy (0.500, 0.500, 0.500)
Dy (0.834, 0.166, 0.500)
Er (0.333, 0.667, 0.000)
Er (0.667, 0.333, 0.000)
As (0.084, 0.421, 0.251)
As (0.255, 0.255, 0.750)
As (0.421, 0.084, 0.251)
As (0.579, 0.916, 0.749)
As (0.745, 0.745, 0.250)
As (0.916, 0.579, 0.749)

21.
Computed, not measured: a geometry-optimized Tb3Dy2ErAs6 structure at the GGA-PBE level of DFT.

Results
The formation energy comes out at -1.536 eV per atom. For the total energy, the calculation gives -74.0 eV/cell.

Cell: 9.216 9.216 8.243 Å, 102.90 102.90 25.85°
Atoms (fractional coordinates):
Tb (0.000, 0.000, 0.000)
Tb (0.333, 0.333, 0.667)
Tb (0.667, 0.667, 0.333)
Dy (0.334, 0.334, 0.167)
Dy (0.666, 0.666, 0.833)
Er (0.000, 0.000, 0.500)
As (0.166, 0.166, 0.584)
As (0.167, 0.167, 0.083)
As (0.500, 0.500, 0.252)
As (0.500, 0.500, 0.748)
As (0.833, 0.833, 0.917)
As (0.834, 0.834, 0.416)

22.
Computed, not measured: a geometry-optimized TbDyEr2As4 structure at the GGA-PBE level of DFT.

Results
The formation energy comes out at -1.529 eV per atom. For the total energy, the calculation gives -49.2 eV/cell.

Cell: 7.109 4.107 7.110 Å, 90.00 109.47 90.00°
Atoms (fractional coordinates):
Tb (0.000, 0.000, 0.000)
Dy (0.000, 0.500, 0.500)
Er (0.500, 0.000, 0.500)
Er (0.500, 0.500, 0.000)
As (0.253, 0.000, 0.750)
As (0.253, 0.500, 0.252)
As (0.747, 0.000, 0.250)
As (0.747, 0.500, 0.748)

23.
Computed, not measured: a geometry-optimized Tb2DyErAs4 structure at the GGA-PBE level of DFT.

Results
The formation energy comes out at -1.535 eV per atom. For the total energy, the calculation gives -49.3 eV/cell.

Cell: 7.134 4.121 7.134 Å, 90.00 109.46 90.00°
Atoms (fractional coordinates):
Tb (0.000, 0.000, 0.000)
Tb (0.000, 0.500, 0.500)
Dy (0.500, 0.000, 0.500)
Er (0.500, 0.500, 0.000)
As (0.252, 0.500, 0.250)
As (0.253, 0.000, 0.752)
As (0.747, 0.000, 0.248)
As (0.748, 0.500, 0.750)